## BeAlTl2 (PBE)

Data for crystalline BeAlTl2 at its relaxed geometry.

space-group type = Pmmm (47)
total magnetization = 0.00 Bohr magnetons per cell
formation energy = 0.628 eV per atom

Lattice parameters (Å, degrees): 3.8670 4.3010 5.4207 90.00 90.00 90.00
Fractional positions:
Be: 0.0000 0.0000 0.0000
Al: 0.5000 0.0000 0.5000
Tl: 0.0000 0.5000 0.5000
Tl: 0.5000 0.5000 0.0000